No. 1
This record from the Alexandria database describes a relaxed Tb3Sc2In2 crystal. The functional is PBE.

Lattice parameters (Å, degrees): 5.310 3.212 11.001 90.00 103.94 90.00
Element x y z (fractional)
Tb 0.000 0.000 0.000
Tb 0.289 0.000 0.578
Tb 0.711 0.000 0.422
Sc 0.430 0.000 0.859
Sc 0.570 0.000 0.141
In 0.142 0.500 0.285
In 0.858 0.500 0.715

Properties
**E**: -4.60 eV per atom
**Space-group type**: P2/m, No. 10
**Magnetic moment**: 1.1 Bohr magnetons per cell
**D(E_F)**: 1.299 states/eV/atom

No. 2
This record from the Alexandria database describes a relaxed Tb2ScIn crystal. The functional is PBE.

Lattice parameters (Å, degrees): 10.966 10.966 10.966 18.32 18.32 18.32
Element x y z (fractional)
Tb 0.000 0.000 0.000
Tb 0.167 0.167 0.167
Sc 0.750 0.750 0.750
In 0.584 0.584 0.584

Properties
**E**: -4.70 eV per atom
**Space-group type**: R3m, No. 160
**Magnetic moment**: 0.4 Bohr magnetons per cell
**D(E_F)**: 1.337 states/eV/atom

No. 3
This record from the Alexandria database describes a relaxed Tb2ScIn4 crystal. The functional is PBE.

Lattice parameters (Å, degrees): 8.101 8.101 8.101 143.08 143.08 53.21
Element x y z (fractional)
Tb 0.248 0.248 0.000
Tb 0.752 0.752 0.000
Sc 0.000 0.000 0.000
In 0.108 0.608 0.500
In 0.392 0.892 0.500
In 0.608 0.108 0.500
In 0.892 0.392 0.500

Properties
**E**: -4.12 eV per atom
**Space-group type**: I4/mmm, No. 139
**Magnetic moment**: 0.0 Bohr magnetons per cell
**D(E_F)**: 0.859 states/eV/atom

No. 4
This record from the Alexandria database describes a relaxed Tb4Sc9In11 crystal. The functional is PBE.

Lattice parameters (Å, degrees): 13.784 13.784 3.270 90.00 90.00 111.39
Element x y z (fractional)
Tb 0.096 0.258 0.000
Tb 0.258 0.096 0.000
Tb 0.742 0.904 0.000
Tb 0.904 0.742 0.000
Sc 0.000 0.000 0.000
Sc 0.111 0.670 0.000
Sc 0.300 0.496 0.000
Sc 0.330 0.889 0.000
Sc 0.496 0.300 0.000
Sc 0.504 0.700 0.000
Sc 0.670 0.111 0.000
Sc 0.700 0.504 0.000
Sc 0.889 0.330 0.000
In 0.093 0.464 0.500
In 0.121 0.879 0.500
In 0.307 0.307 0.500
In 0.309 0.691 0.500
In 0.464 0.093 0.500
In 0.500 0.500 0.500
In 0.536 0.907 0.500
In 0.691 0.309 0.500
In 0.693 0.693 0.500
In 0.879 0.121 0.500
In 0.907 0.536 0.500

Properties
**E**: -4.77 eV per atom
**Space-group type**: Cmmm, No. 65
**Magnetic moment**: 2.5 Bohr magnetons per cell
**D(E_F)**: 0.757 states/eV/atom

No. 5
This record from the Alexandria database describes a relaxed Tb5ScIn2 crystal. The functional is PBE.

Lattice parameters (Å, degrees): 9.614 9.614 9.614 32.53 32.53 32.53
Element x y z (fractional)
Tb 0.000 0.000 0.000
Tb 0.131 0.131 0.131
Tb 0.263 0.263 0.263
Tb 0.737 0.737 0.737
Tb 0.869 0.869 0.869
Sc 0.500 0.500 0.500
In 0.387 0.387 0.387
In 0.613 0.613 0.613

Properties
**E**: -4.59 eV per atom
**Space-group type**: R-3m, No. 166
**Magnetic moment**: 0.0 Bohr magnetons per cell
**D(E_F)**: 1.336 states/eV/atom

No. 6
This record from the Alexandria database describes a relaxed Tb2Sc2In7 crystal. The functional is PBE.

Lattice parameters (Å, degrees): 7.391 7.391 6.009 90.00 90.00 96.55
Element x y z (fractional)
Tb 0.192 0.192 0.000
Tb 0.808 0.808 0.000
Sc 0.267 0.733 0.500
Sc 0.733 0.267 0.500
In 0.000 0.000 0.500
In 0.000 0.500 0.242
In 0.000 0.500 0.758
In 0.500 0.000 0.242
In 0.500 0.000 0.758
In 0.500 0.500 0.241
In 0.500 0.500 0.759

Properties
**E**: -3.70 eV per atom
**Space-group type**: Cmmm, No. 65
**Magnetic moment**: 0.0 Bohr magnetons per cell
**D(E_F)**: 0.707 states/eV/atom

No. 7
This record from the Alexandria database describes a relaxed TbScIn6 crystal. The functional is PBE.

Lattice parameters (Å, degrees): 4.588 4.588 9.160 90.00 90.00 90.00
Element x y z (fractional)
Tb 0.000 0.000 0.000
Sc 0.000 0.000 0.500
In 0.000 0.500 0.257
In 0.000 0.500 0.743
In 0.500 0.000 0.257
In 0.500 0.000 0.743
In 0.500 0.500 0.000
In 0.500 0.500 0.500

Properties
**E**: -3.79 eV per atom
**Space-group type**: P4/mmm, No. 123
**Magnetic moment**: 0.0 Bohr magnetons per cell
**D(E_F)**: 0.291 states/eV/atom

No. 8
This record from the Alexandria database describes a relaxed Tb4ScIn2 crystal. The functional is PBE.

Lattice parameters (Å, degrees): 6.013 6.013 6.264 90.08 90.08 118.78
Element x y z (fractional)
Tb 0.000 0.500 0.500
Tb 0.168 0.832 0.000
Tb 0.500 0.000 0.500
Tb 0.832 0.168 0.000
Sc 0.000 0.000 0.500
In 0.498 0.498 0.243
In 0.502 0.502 0.757

Properties
**E**: -4.34 eV per atom
**Space-group type**: C2/m, No. 12
**Magnetic moment**: 1.1 Bohr magnetons per cell
**D(E_F)**: 1.339 states/eV/atom

No. 9
This record from the Alexandria database describes a relaxed Tb2ScIn2 crystal. The functional is PBE.

Lattice parameters (Å, degrees): 7.887 7.887 4.453 90.00 90.00 90.00
Element x y z (fractional)
Tb 0.173 0.327 0.000
Tb 0.327 0.827 0.000
Tb 0.673 0.173 0.000
Tb 0.827 0.673 0.000
Sc 0.000 0.000 0.500
Sc 0.500 0.500 0.500
In 0.131 0.631 0.500
In 0.369 0.131 0.500
In 0.631 0.869 0.500
In 0.869 0.369 0.500

Properties
**E**: -4.59 eV per atom
**Space-group type**: P4/mbm, No. 127
**Magnetic moment**: 0.0 Bohr magnetons per cell
**D(E_F)**: 1.196 states/eV/atom

No. 10
This record from the Alexandria database describes a relaxed TbSc3In crystal. The functional is PBE.

Lattice parameters (Å, degrees): 6.218 6.218 9.219 106.99 106.99 49.20
Element x y z (fractional)
Tb 0.057 0.057 0.355
Tb 0.943 0.943 0.645
Sc 0.159 0.159 0.037
Sc 0.278 0.278 0.734
Sc 0.359 0.359 0.403
Sc 0.641 0.641 0.597
Sc 0.722 0.722 0.266
Sc 0.841 0.841 0.963
In 0.441 0.441 0.124
In 0.559 0.559 0.876

Properties
**E**: -5.42 eV per atom
**Space-group type**: C2/m, No. 12
**Magnetic moment**: 0.0 Bohr magnetons per cell
**D(E_F)**: 1.215 states/eV/atom

No. 11
This record from the Alexandria database describes a relaxed Tb5Sc4In4 crystal. The functional is PBE.

Lattice parameters (Å, degrees): 8.923 8.923 8.923 94.19 94.19 148.64
Element x y z (fractional)
Tb 0.000 0.000 0.000
Tb 0.307 0.392 0.699
Tb 0.392 0.693 0.085
Tb 0.608 0.307 0.915
Tb 0.693 0.608 0.301
Sc 0.097 0.587 0.684
Sc 0.413 0.097 0.510
Sc 0.587 0.903 0.490
Sc 0.903 0.413 0.316
In 0.085 0.246 0.332
In 0.246 0.915 0.161
In 0.754 0.085 0.839
In 0.915 0.754 0.668

Properties
**E**: -4.88 eV per atom
**Space-group type**: I4/m, No. 87
**Magnetic moment**: 0.0 Bohr magnetons per cell
**D(E_F)**: 0.979 states/eV/atom

No. 12
This record from the Alexandria database describes a relaxed Tb12Sc3In crystal. The functional is PBE.

Lattice parameters (Å, degrees): 4.897 4.897 19.814 90.00 90.00 90.00
Element x y z (fractional)
Tb 0.000 0.000 0.000
Tb 0.000 0.000 0.249
Tb 0.000 0.000 0.500
Tb 0.000 0.000 0.751
Tb 0.000 0.500 0.125
Tb 0.000 0.500 0.375
Tb 0.000 0.500 0.625
Tb 0.000 0.500 0.875
Tb 0.500 0.000 0.125
Tb 0.500 0.000 0.375
Tb 0.500 0.000 0.625
Tb 0.500 0.000 0.875
Sc 0.500 0.500 0.250
Sc 0.500 0.500 0.500
Sc 0.500 0.500 0.750
In 0.500 0.500 0.000

Properties
**E**: -4.87 eV per atom
**Space-group type**: P4/mmm, No. 123
**Magnetic moment**: 0.0 Bohr magnetons per cell
**D(E_F)**: 1.351 states/eV/atom